1.
Entry from Alexandria: a crystal of Zn2AsO5 relaxed with PBEsol (meta-GGA SCAN).

```
32
Lattice="8.3825 0.0000 0.0000 0.0000 8.4283 0.0000 0.0000 0.0000 5.9788" Properties=species:S:1:pos:R:3 pbc="T T T"
Zn 0.0000 0.0000 1.4680
Zn 0.0000 0.0000 4.5108
Zn 1.2115 3.1510 2.9894
Zn 2.9798 7.3652 0.0000
Zn 4.1913 4.2142 1.5214
Zn 4.1913 4.2142 4.4574
Zn 5.4027 1.0632 0.0000
Zn 7.1710 5.2773 2.9894
As 2.0479 6.2885 2.9894
As 2.1434 2.0743 0.0000
As 6.2392 6.3540 0.0000
As 6.3346 2.1398 2.9894
O 0.7970 5.1076 2.9894
O 1.1426 7.9200 0.0000
O 1.1474 7.7872 2.9894
O 1.1744 1.9807 1.4025
O 1.1744 1.9807 4.5764
O 3.0168 6.1949 1.5870
O 3.0168 6.1949 4.3919
O 3.0439 3.5730 0.0000
O 3.0487 3.7058 2.9894
O 3.3943 0.8935 0.0000
O 4.9882 7.5349 0.0000
O 5.3338 4.7225 2.9894
O 5.3386 4.8553 0.0000
O 5.3657 2.2335 1.5870
O 5.3657 2.2335 4.3919
O 7.2081 6.4476 1.4025
O 7.2081 6.4476 4.5764
O 7.2352 0.6411 2.9894
O 7.2399 0.5083 0.0000
O 7.5856 3.3207 2.9894
```

Results
- Space group: Pnnm
- Total magnetic moment: 0.90 μB per formula unit
- Energy relative to the elements, uncorrected: -1.3136 eV/atom
- Electronic total energy: -355.542 eV for the cell shown
- V: 13.2 Å³ per atom



2.
Entry from Alexandria: a crystal of ZnAs2O4 relaxed with PBEsol (meta-GGA SCAN).

```
28
Lattice="4.5154 0.0000 0.0000 0.0000 5.0048 0.0000 -0.1209 0.0000 17.6147" Properties=species:S:1:pos:R:3 pbc="T T T"
Zn 1.0794 0.0755 4.3753
Zn 1.0190 2.4269 13.1826
Zn 3.3755 2.5779 4.4320
Zn 3.3150 4.9292 13.2394
As 0.0529 3.6620 1.5902
As -0.0076 3.8451 10.3975
As 2.0948 3.5788 15.9822
As 2.1552 3.9283 7.1749
As 2.2392 1.0764 10.4398
As 2.2997 1.4260 1.6325
As 4.4020 1.1596 7.2171
As 4.3416 1.3428 16.0245
O -0.0699 1.1697 14.2477
O -0.0094 1.3327 5.4403
O 0.3303 3.1065 16.0911
O 0.3907 4.4006 7.2838
O 1.8155 3.1893 1.4441
O 1.7550 4.3178 10.2514
O 2.1666 1.1642 12.2169
O 2.2271 1.3382 3.4095
O 2.1674 3.6666 14.2052
O 2.2279 3.8405 5.3978
O 2.6394 0.6869 7.3633
O 2.5790 1.8155 16.1706
O 4.0037 0.6041 10.3309
O 4.0642 1.8982 1.5235
O 4.4039 3.6721 12.1744
O 4.4644 3.8350 3.3670
```

Results
- Space group: P2_1/c
- Total magnetic moment: 0.00 μB per formula unit
- Energy relative to the elements, uncorrected: -1.4149 eV/atom
- Electronic total energy: -354.902 eV for the cell shown
- V: 14.2 Å³ per atom



3.
Entry from Alexandria: a crystal of ZnAsO2 relaxed with PBEsol (meta-GGA SCAN).

```
8
Lattice="-2.2247 2.2247 5.4654 2.2247 -2.2247 5.4654 2.2247 2.2247 -5.4654" Properties=species:S:1:pos:R:3 pbc="T T T"
Zn 0.0000 0.0000 0.0000
Zn 0.0000 2.2247 2.7327
As 2.2247 0.0000 2.7327
As 0.0000 0.0000 5.4654
O 3.3371 1.0333 -1.3663
O 1.0333 1.1124 1.3663
O -1.1124 1.1914 4.0990
O 1.1914 1.1124 6.8317
```

Results
- Space group: I-42d
- Total magnetic moment: 0.00 μB per formula unit
- Energy relative to the elements, uncorrected: -0.6901 eV/atom
- Electronic total energy: -97.857 eV for the cell shown
- V: 13.5 Å³ per atom